Model P:
# CaCrI2O

An optimized crystal structure of CaCrI2O (PBE with a Hubbard U, the Alexandria database).

## Properties
Symmetry: No. 123
Calculated density: 4.55 g/cm3

abc: 5.863 5.863 3.840
angles: 90.00 90.00 90.00
Last column: magnetic moment on the atom in μB.
Fractional coordinates of all 5 atoms:
I 0.000 0.500 0.000  -0.01
I 0.500 0.000 0.000  -0.01
Cr 0.000 0.000 0.000  3.60
Ca 0.500 0.500 0.500  0.01
O 0.000 0.000 0.500  -0.14

=====

Model Q:
# CaCrI2O

An optimized crystal structure of CaCrI2O (PBE with a Hubbard U, the Alexandria database).

## Properties
Symmetry: No. 123
Calculated density: 3.78 g/cm3

abc: 6.153 6.153 4.201
angles: 90.00 90.00 90.00
Last column: magnetic moment on the atom in μB.
Fractional coordinates of all 5 atoms:
I 0.000 0.500 0.000  -0.06
I 0.500 0.000 0.000  -0.06
Cr 0.500 0.500 0.500  4.48
Ca 0.000 0.000 0.000  0.01
O 0.000 0.000 0.500  0.07

=====

If you had to name the least stable structure above, which would it be? It would be model Q.